{"formula": "Ca2InPt", "functional": "PBE-GGA", "state": "relaxed", "crystal_system": "monoclinic", "formation_energy_ev_per_fu": -2.1, "dos_ef_per_ev_cell": 1.7, "dft_energy_ha_per_atom": -0.1367, "spacegroup": "C2/m, No. 12", "m_tot_mub_per_atom": 0.000, "lattice": [[3.462, -1.971, 0.000], [3.462, 1.971, 0.000], [-2.206, 0.000, 8.539]], "species": ["Ca", "Ca", "In", "Pt"], "fractional_positions": [[0.232, 0.232, 0.198], [0.768, 0.768, 0.802], [0.000, 0.000, 0.500], [0.500, 0.500, 0.000]]}

***

{"formula": "Sm2Al6Pd9", "functional": "PBE-GGA", "state": "relaxed", "crystal_system": "hexagonal", "formation_energy_ev_per_fu": -12.8, "dos_ef_per_ev_cell": 7.7, "dft_energy_ha_per_atom": -0.1976, "spacegroup": "P6/mmm, No. 191", "m_tot_mub_per_atom": 0.000, "lattice": [[5.599, 0.000, 0.000], [-2.799, 4.849, 0.000], [0.000, 0.000, 11.876]], "species": ["Sm", "Sm", "Al", "Al", "Al", "Al", "Al", "Al", "Pd", "Pd", "Pd", "Pd", "Pd", "Pd", "Pd", "Pd", "Pd"], "fractional_positions": [[0.000, 0.000, 0.195], [0.000, 0.000, 0.805], [0.333, 0.667, 0.164], [0.333, 0.667, 0.500], [0.333, 0.667, 0.836], [0.667, 0.333, 0.164], [0.667, 0.333, 0.500], [0.667, 0.333, 0.836], [0.000, 0.500, 0.000], [0.000, 0.500, 0.331], [0.000, 0.500, 0.669], [0.500, 0.000, 0.000], [0.500, 0.000, 0.331], [0.500, 0.000, 0.669], [0.500, 0.500, 0.000], [0.500, 0.500, 0.331], [0.500, 0.500, 0.669]]}